# 1
# AuBr4N2

An optimized crystal structure of AuBr4N2 (GGA-PBE, the Alexandria database).

The structure in extended XYZ format:
```
7
Lattice="3.775 0.159 -0.792 0.283 8.449 -0.995 -1.064 0.189 6.796" Properties=species:S:1:pos:R:3 pbc="T T T"
Au 0.000 0.000 0.000
Br 0.647 5.165 1.466
Br 2.348 3.631 3.543
Br 1.034 7.399 4.253
Br 1.961 1.397 0.756
N 0.925 2.983 2.767
N 2.070 5.814 2.243
```

***

# 2
# Au2BrN2

An optimized crystal structure of Au2BrN2 (GGA-PBE, the Alexandria database).

The structure in extended XYZ format:
```
10
Lattice="-4.115 -0.954 5.932 -5.801 -1.244 -4.224 1.519 -6.900 -0.055" Properties=species:S:1:pos:R:3 pbc="T T T"
Au -5.367 -1.168 -1.687
Au -7.439 -1.648 1.269
Au -4.549 -1.029 3.395
Au -2.477 -0.549 0.440
Br 0.000 0.000 0.000
Br -4.958 -1.099 0.854
N -2.677 -4.190 -2.047
N -7.008 -5.154 -0.736
N -5.720 -4.906 3.700
N -1.389 -3.942 2.389
```

***

# 3
# AuBrN2

An optimized crystal structure of AuBrN2 (GGA-PBE, the Alexandria database).

The structure in extended XYZ format:
```
8
Lattice="-5.021 0.731 -2.957 0.315 -5.545 -1.907 -4.179 -3.486 0.402" Properties=species:S:1:pos:R:3 pbc="T T T"
Au 0.000 0.000 0.000
Au -5.776 -2.581 -2.493
Br -2.353 -2.407 -2.432
Br -3.108 -5.719 -1.969
N -4.351 -1.077 -2.108
N -1.267 -4.276 -1.339
N -4.912 -4.190 -1.443
N -7.239 -7.056 -4.033
```

***

# 4
# AuBr2N

An optimized crystal structure of AuBr2N (GGA-PBE, the Alexandria database).

The structure in extended XYZ format:
```
8
Lattice="5.476 0.000 0.000 0.000 5.476 0.000 2.738 2.738 6.250" Properties=species:S:1:pos:R:3 pbc="T T T"
Au 0.000 0.000 0.000
Au 5.476 2.738 3.125
Br 3.604 1.369 1.563
Br 1.872 4.107 1.563
Br 4.107 4.610 4.688
Br 6.845 6.342 4.688
N 2.738 2.738 0.000
N 2.738 5.476 3.125
```

***

# 5
# Au3BrN

An optimized crystal structure of Au3BrN (GGA-PBE, the Alexandria database).

The structure in extended XYZ format:
```
5
Lattice="-0.075 -3.880 3.566 5.218 0.443 0.591 -0.734 3.539 3.836" Properties=species:S:1:pos:R:3 pbc="T T T"
Au 2.609 0.221 0.295
Au -0.367 1.770 1.918
Au -0.037 -1.940 1.783
Br 0.000 0.000 0.000
N 2.205 0.051 3.996
```

***

# 6
# Au3BrN

An optimized crystal structure of Au3BrN (GGA-PBE, the Alexandria database).

The structure in extended XYZ format:
```
5
Lattice="-3.728 -0.998 -2.340 -1.075 -3.145 3.054 -2.306 3.081 2.360" Properties=species:S:1:pos:R:3 pbc="T T T"
Au -0.538 -1.572 1.527
Au -1.153 1.540 1.180
Au -1.864 -0.499 -1.170
Br -3.555 -0.531 1.537
N 0.000 0.000 0.000
```

***

# 7
# AuBrN2

An optimized crystal structure of AuBrN2 (GGA-PBE, the Alexandria database).

The structure in extended XYZ format:
```
4
Lattice="0.000 2.968 2.968 2.968 0.000 2.968 2.968 2.968 0.000" Properties=species:S:1:pos:R:3 pbc="T T T"
Au 2.968 2.968 2.968
Br 0.000 0.000 0.000
N 1.484 1.484 1.484
N 4.452 4.452 4.452
```

***

# 8
# AuBr2N2

An optimized crystal structure of AuBr2N2 (GGA-PBE, the Alexandria database).

The structure in extended XYZ format:
```
5
Lattice="-3.440 -1.389 0.656 2.593 -2.681 -2.896 2.319 0.969 14.211" Properties=species:S:1:pos:R:3 pbc="T T T"
Au 0.000 0.000 0.000
Br -1.001 -2.091 1.141
Br 2.474 -1.011 10.830
N 1.160 0.245 6.603
N 0.312 -3.346 5.368
```

***

# 9
# Au2BrN

An optimized crystal structure of Au2BrN (GGA-PBE, the Alexandria database).

The structure in extended XYZ format:
```
8
Lattice="5.478 0.000 0.000 0.000 5.478 0.000 2.739 2.739 6.010" Properties=species:S:1:pos:R:3 pbc="T T T"
Au 2.737 1.370 1.503
Au 2.741 4.109 1.503
Au 4.109 5.481 4.508
Au 6.848 5.476 4.508
Br 0.000 0.000 0.000
Br 5.478 2.739 3.005
N 2.739 2.739 0.000
N 2.739 5.478 3.005
```

***

# 10
# Au2BrN

An optimized crystal structure of Au2BrN (GGA-PBE, the Alexandria database).

The structure in extended XYZ format:
```
4
Lattice="0.000 3.304 3.304 3.304 0.000 3.304 3.304 3.304 0.000" Properties=species:S:1:pos:R:3 pbc="T T T"
Au 1.652 1.652 1.652
Au 4.956 4.956 4.956
Br 3.304 3.304 3.304
N 0.000 0.000 0.000
```

***

# 11
# Au2BrN2

An optimized crystal structure of Au2BrN2 (GGA-PBE, the Alexandria database).

The structure in extended XYZ format:
```
5
Lattice="0.603 0.677 3.268 5.248 -3.617 1.521 6.264 5.277 -0.885" Properties=species:S:1:pos:R:3 pbc="T T T"
Au 8.237 4.273 0.712
Au 3.877 -1.936 3.192
Br 0.000 0.000 0.000
N 3.808 2.566 1.168
N 8.306 -0.229 2.736
```

***

# 12
# AuBr2NO

An optimized crystal structure of AuBr2NO (GGA-PBE, the Alexandria database).

The structure in extended XYZ format:
```
5
Lattice="-2.620 0.362 -4.753 0.941 -3.557 -0.789 -4.569 -1.739 2.386" Properties=species:S:1:pos:R:3 pbc="T T T"
Au 0.000 0.000 0.000
O -3.124 -2.467 -1.578
Br -2.284 -0.869 1.193
Br -1.310 0.181 -2.377
N 0.471 -1.779 -0.395
```

***

no.,uncorrected formation energy (eV per atom),calculated volume (Å³ per cell),E (Ry per atom)
1,0.951,210.2,-0.210
2,0.396,374.7,-0.337
3,1.939,122.1,-0.254
4,1.227,187.4,-0.184
5,1.791,146.4,-0.160
6,0.863,92.0,-0.228
7,2.626,52.3,-0.204
8,-0.052,187.7,-0.346
9,0.714,180.4,-0.252
10,1.517,72.1,-0.193
11,0.151,171.2,-0.355
12,1.562,111.4,-0.178